Record 1
Here is an optimized crystal structure of SiPS2Cl from the Alexandria database. Energies are from PBEsol.

Its density of states at the Fermi level is 1.07 states/eV/cell. The total energy comes out at -20.56 eV for the cell shown. Its density is 2.8 Mg/m³. The total magnetization is 0.0 μB per formula unit.

The space group is P4/mmm (No. 123) and the conventional cell measures 4.5447, 4.5447 and 4.5012 Å, with angles of 90.00, 90.00 and 90.00 degrees. The inequivalent atoms are Si at (0.0000, 0.0000, 0.0000), P at (0.5000, 0.5000, 0.5000), S at (0.0000, 0.5000, 0.5000) and Cl at (0.5000, 0.5000, 0.0000).

Record 2
Here is an optimized crystal structure of CaBe3Ni from the Alexandria database. Energies are from PBEsol.

Its density of states at the Fermi level is 1.44 states/eV/cell. The total energy comes out at -19.98 eV for the cell shown. Its density is 3.0 Mg/m³. The formation energy is 30 kJ/mol of formula units. The total magnetization is 0.0 μB per formula unit.

The space group is Pm-3m (No. 221) and the conventional cell measures 4.1078, 4.1078 and 4.1078 Å, with angles of 90.00, 90.00 and 90.00 degrees. The inequivalent atoms are Ca at (0.0000, 0.0000, 0.0000), Be at (0.0000, 0.5000, 0.5000) and Ni at (0.5000, 0.5000, 0.5000).

Record 3
Here is an optimized crystal structure of Ag2OsRh from the Alexandria database. Energies are from PBEsol.

Its density of states at the Fermi level is 8.21 states/eV/cell. The total energy comes out at -50.10 eV for the cell shown. Its density is 14.2 Mg/m³. The formation energy is 186 kJ/mol of formula units. The value obtained for the energy above the lowest structure with this stoichiometry is 19 meV/atom. The total magnetization is 0.0 μB per formula unit.

The space group is C2/m (No. 12) and the conventional cell measures 9.4269, 2.7021 and 4.7337 Å, with angles of 90.00, 99.14 and 90.00 degrees. The inequivalent atoms are Ag at (0.2493, 0.0000, 0.2501), Os at (0.0000, 0.5000, 0.0000) and Rh at (0.0000, 0.0000, 0.5000).

Record 4
Here is an optimized crystal structure of NdCuAg from the Alexandria database. Energies are from PBEsol.

Its density of states at the Fermi level is 7.12 states/eV/cell. The total energy comes out at -53.95 eV for the cell shown. Its density is 8.6 Mg/m³. The formation energy is -65 kJ/mol of formula units. The total magnetization is 0.0 μB per formula unit.

The space group is C2/m (No. 12) and the conventional cell measures 9.9815, 4.1911 and 7.1189 Å, with angles of 90.00, 125.52 and 90.00 degrees. The inequivalent atoms are Nd at (0.0579, 0.0000, 0.3017), Cu at (0.1405, 0.5000, 0.6762) and Ag at (0.1788, 0.5000, 0.0894).

density of number 3 (Ag2OsRh)? 14.2 Mg/m³